VASP calculation (GGA-PBE) on a geometry-optimized MoIrOs structure.

Cell: 4.3804 4.3804 2.7358 Å, 90.00 90.00 120.00°
Positions (direct):
Ir  0.0000  0.0000  0.9999
Os  0.3333  0.6667  0.5000
Mo  0.6667  0.3333  0.5002

Summary:
total magnetization: 0.00 μB per cell
V: 45.5 Å³ per cell
energy relative to the elements: 0.11 eV/atom
D(E_F): 2.68 states/eV/cell



VASP calculation (GGA-PBE) on a geometry-optimized MoIr3Os structure.

Cell: 4.7069 4.7069 4.7069 Å, 90.00 90.00 90.00°
Positions (direct):
Os  0.0000  0.0000  0.0000
Mo  0.5000  0.5000  0.5000
Ir  0.0000  0.5000  0.0000
Ir  0.5000  0.0000  0.0000
Ir  0.0000  0.0000  0.5000

Summary:
total magnetization: 3.43 μB per cell
V: 104.3 Å³ per cell
energy relative to the elements: 2.02 eV/atom
D(E_F): 5.80 states/eV/cell